A relaxed LiIr2 crystal. Source: Alexandria, functional PBE.

a = 4.0063 Å, b = 5.2002 Å, c = 7.5235 Å
α = 90.00°, β = 90.00°, γ = 90.00°
With the nearest neighbours (Å) after each atom.
Positions (direct):
Ir 0.2500 0.0488 0.7750  5 Li 2.51-2.74, 5 Ir 2.62-2.74
Ir 0.7500 0.4512 0.2750  5 Li 2.51-2.74, 5 Ir 2.62-2.74
Ir 0.2500 0.5488 0.7250  5 Li 2.51-2.74, 5 Ir 2.62-2.74
Ir 0.7500 0.9512 0.2250  5 Li 2.51-2.74, 5 Ir 2.62-2.74
Ir 0.2500 0.1806 0.4388  5 Li 2.46-2.65, 3 Ir 2.62-2.74
Ir 0.7500 0.3194 0.9388  5 Li 2.46-2.65, 3 Ir 2.62-2.74
Ir 0.2500 0.6806 0.0612  5 Li 2.46-2.65, 3 Ir 2.62-2.74
Ir 0.7500 0.8194 0.5612  5 Li 2.46-2.65, 3 Ir 2.62-2.74
Li 0.2500 0.6863 0.3944  10 Ir 2.46-2.74
Li 0.7500 0.8137 0.8944  10 Ir 2.46-2.74
Li 0.2500 0.1863 0.1056  10 Ir 2.46-2.74
Li 0.7500 0.3137 0.6056  10 Ir 2.46-2.74

Results
Magnetization (μB/cell): 0.00
Crystal system: orthorhombic
Energy of formation from the pure elements (kcal/mol of atoms): 1.84
Space group: Pnma (62)
Theoretical density (g cm⁻³): 16.6

=====

A relaxed LiIr crystal. Source: Alexandria, functional PBE.

a = 2.7848 Å, b = 2.7848 Å, c = 7.1149 Å
α = 90.00°, β = 90.00°, γ = 90.00°
With the nearest neighbours (Å) after each atom.
Positions (direct):
Ir 0.2500 0.2500 0.1244  4 Li 2.64, 8 Ir 2.65-2.78
Ir 0.7500 0.7500 0.8756  4 Li 2.64, 8 Ir 2.65-2.78
Li 0.2500 0.2500 0.6294  4 Ir 2.64, 8 Li 2.70-2.78
Li 0.7500 0.7500 0.3706  4 Ir 2.64, 8 Li 2.70-2.78

Results
Magnetization (μB/cell): 0.00
Crystal system: tetragonal
Energy of formation from the pure elements (kcal/mol of atoms): -1.85
Space group: P4/nmm (129)
Theoretical density (g cm⁻³): 12.0

=====

A relaxed LiIr crystal. Source: Alexandria, functional PBE.

a = 4.0133 Å, b = 4.0133 Å, c = 4.5227 Å
α = 90.00°, β = 90.00°, γ = 120.00°
With the nearest neighbours (Å) after each atom.
Positions (direct):
Li 0.3333 0.6667 0.2500  5 Ir 2.26-2.32
Li 0.6667 0.3333 0.7500  5 Ir 2.26-2.32
Ir 0.3333 0.6667 0.7500  5 Li 2.26-2.32
Ir 0.6667 0.3333 0.2500  5 Li 2.26-2.32

Results
Magnetization (μB/cell): 0.00
Crystal system: hexagonal
Energy of formation from the pure elements (kcal/mol of atoms): 29.39
Space group: P6_3/mmc (194)
Theoretical density (g cm⁻³): 10.5

=====

A relaxed LiIr crystal. Source: Alexandria, functional PBE.

a = 5.2764 Å, b = 5.2764 Å, c = 5.2764 Å
α = 90.00°, β = 90.00°, γ = 90.00°
With the nearest neighbours (Å) after each atom.
Positions (direct):
Li 0.2500 0.2500 0.2500  4 Ir 2.28
Li 0.2500 0.7500 0.7500  4 Ir 2.28
Li 0.7500 0.2500 0.7500  4 Ir 2.28
Li 0.7500 0.7500 0.2500  4 Ir 2.28
Ir 0.0000 0.0000 0.0000  4 Li 2.28
Ir 0.0000 0.5000 0.5000  4 Li 2.28
Ir 0.5000 0.0000 0.5000  4 Li 2.28
Ir 0.5000 0.5000 0.0000  4 Li 2.28

Results
Magnetization (μB/cell): 3.77
Crystal system: cubic
Energy of formation from the pure elements (kcal/mol of atoms): 44.96
Space group: F-43m (216)
Theoretical density (g cm⁻³): 9.0

=====

A relaxed LiIr crystal. Source: Alexandria, functional PBE.

a = 9.6127 Å, b = 9.6127 Å, c = 2.7352 Å
α = 90.00°, β = 90.00°, γ = 90.00°
With the nearest neighbours (Å) after each atom.
Positions (direct):
Li 0.8064 0.6682 0.5000  3 Ir 2.54-2.75, 2 Li 2.74
Li 0.1936 0.3318 0.5000  3 Ir 2.54-2.75, 2 Li 2.74
Li 0.3318 0.8064 0.5000  3 Ir 2.54-2.75, 2 Li 2.74
Li 0.6682 0.1936 0.5000  3 Ir 2.54-2.75, 2 Li 2.74
Li 0.9473 0.1971 0.0000  2 Ir 2.59, 4 Li 2.74-2.77
Li 0.0527 0.8029 0.0000  2 Ir 2.59, 4 Li 2.74-2.77
Li 0.8029 0.9473 0.0000  2 Ir 2.59, 4 Li 2.74-2.77
Li 0.1971 0.0527 0.0000  2 Ir 2.59, 4 Li 2.74-2.77
Ir 0.8994 0.4208 0.5000  5 Ir 2.46-2.74, 3 Li 2.54-2.59
Ir 0.1006 0.5792 0.5000  5 Ir 2.46-2.74, 3 Li 2.54-2.59
Ir 0.5792 0.8994 0.5000  5 Ir 2.46-2.74, 3 Li 2.54-2.59
Ir 0.4208 0.1006 0.5000  5 Ir 2.46-2.74, 3 Li 2.54-2.59
Ir 0.6752 0.4421 0.0000  6 Ir 2.51-2.74, 2 Li 2.75
Ir 0.3248 0.5579 0.0000  6 Ir 2.51-2.74, 2 Li 2.75
Ir 0.5579 0.6752 0.0000  6 Ir 2.51-2.74, 2 Li 2.75
Ir 0.4421 0.3248 0.0000  6 Ir 2.51-2.74, 2 Li 2.75

Results
Magnetization (μB/cell): 0.00
Crystal system: tetragonal
Energy of formation from the pure elements (kcal/mol of atoms): -0.24
Space group: P4/m (83)
Theoretical density (g cm⁻³): 10.5

=====

A relaxed LiIr3 crystal. Source: Alexandria, functional PBE.

a = 4.6800 Å, b = 4.6800 Å, c = 4.6374 Å
α = 82.29°, β = 82.29°, γ = 33.67°
With the nearest neighbours (Å) after each atom.
Positions (direct):
Ir 0.5000 0.5000 0.5000  8 Ir 2.68-2.73, 4 Li 2.69
Ir 0.7580 0.7580 0.7515  3 Li 2.59-2.79, 9 Ir 2.66-2.73
Ir 0.2420 0.2420 0.2485  3 Li 2.59-2.79, 9 Ir 2.66-2.73
Li 0.0000 0.0000 0.0000  10 Ir 2.59-2.79, 2 Li 2.71

Results
Magnetization (μB/cell): 0.00
Crystal system: monoclinic
Energy of formation from the pure elements (kcal/mol of atoms): -2.20
Space group: C2/m (12)
Theoretical density (g cm⁻³): 17.4

=====

A relaxed LiIr crystal. Source: Alexandria, functional PBE.

a = 5.1596 Å, b = 5.1596 Å, c = 6.5278 Å
α = 77.17°, β = 77.17°, γ = 30.02°
With the nearest neighbours (Å) after each atom.
Positions (direct):
Ir 0.0310 0.0310 0.9918  3 Li 2.56-2.78, 6 Ir 2.60-2.67
Ir 0.6531 0.6531 0.6589  5 Ir 2.56-2.67, 5 Li 2.67-2.84
Ir 0.5973 0.5973 0.2957  5 Ir 2.56-2.67, 5 Li 2.64-2.71
Li 0.3297 0.3297 0.3174  5 Li 2.45-2.71, 3 Ir 2.64-2.71
Li 0.9304 0.9304 0.6105  6 Ir 2.67-2.89, 6 Li 2.67-2.72
Li 0.2919 0.2919 0.9590  5 Li 2.45-2.72, 1 Ir 2.56

Results
Magnetization (μB/cell): 0.00
Crystal system: monoclinic
Energy of formation from the pure elements (kcal/mol of atoms): -3.56
Space group: Cm (8)
Theoretical density (g cm⁻³): 11.7

=====

A relaxed LiIr2 crystal. Source: Alexandria, functional PBE.

a = 2.7092 Å, b = 2.7092 Å, c = 6.7485 Å
α = 90.00°, β = 90.00°, γ = 120.00°
With the nearest neighbours (Å) after each atom.
Positions (direct):
Ir 0.6667 0.3333 0.6633  9 Ir 2.70-2.71, 3 Li 2.76
Ir 0.3333 0.6667 0.3367  9 Ir 2.70-2.71, 3 Li 2.76
Li 0.0000 0.0000 0.0000  6 Li 2.71, 6 Ir 2.76

Results
Magnetization (μB/cell): 0.00
Crystal system: trigonal
Energy of formation from the pure elements (kcal/mol of atoms): 0.36
Space group: P-3m1 (164)
Theoretical density (g cm⁻³): 15.2

=====

A relaxed LiIr crystal. Source: Alexandria, functional PBE.

a = 8.0406 Å, b = 8.0406 Å, c = 8.0406 Å
α = 90.00°, β = 90.00°, γ = 90.00°
With the nearest neighbours (Å) after each atom.
Positions (direct):
Li 0.1952 0.1952 0.1952  4 Ir 2.64-2.71
Li 0.1952 0.8048 0.8048  4 Ir 2.64-2.71
Li 0.8048 0.1952 0.8048  4 Ir 2.64-2.71
Li 0.8048 0.8048 0.1952  4 Ir 2.64-2.71
Li 0.6952 0.6952 0.6952  4 Ir 2.64-2.71
Li 0.6952 0.3048 0.3048  4 Ir 2.64-2.71
Li 0.3048 0.6952 0.3048  4 Ir 2.64-2.71
Li 0.3048 0.3048 0.6952  4 Ir 2.64-2.71
Ir 0.3895 0.3895 0.3895  3 Ir 2.51, 4 Li 2.64-2.71
Ir 0.3895 0.6105 0.6105  3 Ir 2.51, 4 Li 2.64-2.71
Ir 0.6105 0.3895 0.6105  3 Ir 2.51, 4 Li 2.64-2.71
Ir 0.6105 0.6105 0.3895  3 Ir 2.51, 4 Li 2.64-2.71
Ir 0.8895 0.8895 0.8895  3 Ir 2.51, 4 Li 2.64-2.71
Ir 0.8895 0.1105 0.1105  3 Ir 2.51, 4 Li 2.64-2.71
Ir 0.1105 0.8895 0.1105  3 Ir 2.51, 4 Li 2.64-2.71
Ir 0.1105 0.1105 0.8895  3 Ir 2.51, 4 Li 2.64-2.71

Results
Magnetization (μB/cell): 0.00
Crystal system: cubic
Energy of formation from the pure elements (kcal/mol of atoms): 28.97
Space group: I-43m (217)
Theoretical density (g cm⁻³): 5.1

=====

A relaxed LiIr3 crystal. Source: Alexandria, functional PBE.

a = 4.7124 Å, b = 4.7124 Å, c = 2.6808 Å
α = 90.00°, β = 90.00°, γ = 110.50°
With the nearest neighbours (Å) after each atom.
Positions (direct):
Ir 0.0000 0.5000 0.5000  8 Ir 2.68-2.71, 4 Li 2.71
Ir 0.5000 0.0000 0.5000  8 Ir 2.68-2.71, 4 Li 2.71
Ir 0.5000 0.5000 0.0000  10 Ir 2.68-2.71, 2 Li 2.69
Li 0.0000 0.0000 0.0000  2 Li 2.68, 10 Ir 2.69-2.71

Results
Magnetization (μB/cell): 0.00
Crystal system: orthorhombic
Energy of formation from the pure elements (kcal/mol of atoms): -2.08
Space group: Cmmm (65)
Theoretical density (g cm⁻³): 17.4

=====

A relaxed Li3Ir crystal. Source: Alexandria, functional PBE.

a = 4.8812 Å, b = 4.8812 Å, c = 2.5569 Å
α = 90.00°, β = 90.00°, γ = 114.72°
With the nearest neighbours (Å) after each atom.
Positions (direct):
Ir 0.0000 0.0000 0.0000  2 Ir 2.56, 10 Li 2.63-2.76
Li 0.0000 0.5000 0.5000  8 Li 2.56-2.76, 4 Ir 2.76
Li 0.5000 0.0000 0.5000  8 Li 2.56-2.76, 4 Ir 2.76
Li 0.5000 0.5000 0.0000  10 Li 2.56-2.76, 2 Ir 2.63

Results
Magnetization (μB/cell): 0.00
Crystal system: orthorhombic
Energy of formation from the pure elements (kcal/mol of atoms): -2.34
Space group: Cmmm (65)
Theoretical density (g cm⁻³): 6.4

=====

A relaxed LiIr3 crystal. Source: Alexandria, functional PBE.

a = 2.7041 Å, b = 2.7041 Å, c = 9.1174 Å
α = 90.00°, β = 90.00°, γ = 119.53°
With the nearest neighbours (Å) after each atom.
Positions (direct):
Ir 0.0000 0.0000 0.0036  2 Li 2.63, 8 Ir 2.68-2.72
Ir 0.5000 0.5000 0.7500  10 Ir 2.68-2.72
Ir 0.0000 0.0000 0.4964  2 Li 2.63, 8 Ir 2.68-2.72
Li 0.5000 0.5000 0.2500  4 Ir 2.63, 6 Li 2.70-2.72

Results
Magnetization (μB/cell): 0.00
Crystal system: orthorhombic
Energy of formation from the pure elements (kcal/mol of atoms): 3.64
Space group: Cmmm (65)
Theoretical density (g cm⁻³): 16.7

=====

Copy entry 9 word for word.
A relaxed LiIr crystal. Source: Alexandria, functional PBE.

a = 8.0406 Å, b = 8.0406 Å, c = 8.0406 Å
α = 90.00°, β = 90.00°, γ = 90.00°
With the nearest neighbours (Å) after each atom.
Positions (direct):
Li 0.1952 0.1952 0.1952  4 Ir 2.64-2.71
Li 0.1952 0.8048 0.8048  4 Ir 2.64-2.71
Li 0.8048 0.1952 0.8048  4 Ir 2.64-2.71
Li 0.8048 0.8048 0.1952  4 Ir 2.64-2.71
Li 0.6952 0.6952 0.6952  4 Ir 2.64-2.71
Li 0.6952 0.3048 0.3048  4 Ir 2.64-2.71
Li 0.3048 0.6952 0.3048  4 Ir 2.64-2.71
Li 0.3048 0.3048 0.6952  4 Ir 2.64-2.71
Ir 0.3895 0.3895 0.3895  3 Ir 2.51, 4 Li 2.64-2.71
Ir 0.3895 0.6105 0.6105  3 Ir 2.51, 4 Li 2.64-2.71
Ir 0.6105 0.3895 0.6105  3 Ir 2.51, 4 Li 2.64-2.71
Ir 0.6105 0.6105 0.3895  3 Ir 2.51, 4 Li 2.64-2.71
Ir 0.8895 0.8895 0.8895  3 Ir 2.51, 4 Li 2.64-2.71
Ir 0.8895 0.1105 0.1105  3 Ir 2.51, 4 Li 2.64-2.71
Ir 0.1105 0.8895 0.1105  3 Ir 2.51, 4 Li 2.64-2.71
Ir 0.1105 0.1105 0.8895  3 Ir 2.51, 4 Li 2.64-2.71

Results
Magnetization (μB/cell): 0.00
Crystal system: cubic
Energy of formation from the pure elements (kcal/mol of atoms): 28.97
Space group: I-43m (217)
Theoretical density (g cm⁻³): 5.1